The following is a PBE calculation of KReSe2 after structural relaxation, from Alexandria via LeMat-Bulk.

abc: 9.3810 9.3810 9.3810
angles: 23.18 23.18 23.18
Site moments in Bohr magnetons follow the coordinates.
Sites, in units of the cell vectors:
Re  0.5000  0.5000  0.5000  1.68
Se  0.8844  0.8844  0.8844  0.04
Se  0.1156  0.1156  0.1156  0.04
K  0.0000  0.0000  0.0000  0.01

Values from the calculation:
* DOS at the Fermi energy: 1.957 states/eV/cell
* E_form (uncorrected): -0.043 eV/atom
* magnetic moment: 0.515 μB/atom